Entry 1:
Here is crystalline VCrNi at its relaxed geometry from Alexandria via LeMat-Bulk. Energies are from PBE.

abc: 2.4539 4.7861 6.3676
angles: 77.42 79.45 80.82
With the nearest neighbours (Å) after each atom.
Space group P1 (No. 1)
Inequivalent atoms, fractional coordinates:
V 0.0000 0.0000 0.0000 [1 per cell]  3 V 2.45-2.70, 2 Cr 2.47-2.56, 4 Ni 2.50-2.55
V 0.1330 0.1904 0.3546 [1 per cell]  3 V 2.45-2.70, 3 Ni 2.46-2.71, 3 Cr 2.50-2.61
Cr 0.2850 0.4028 0.6810 [1 per cell]  3 Cr 2.37-2.45, 5 Ni 2.49-2.63, 2 V 2.56-2.61
Cr 0.6384 0.6904 0.3452 [1 per cell]  3 Cr 2.37-2.45, 3 V 2.47-2.52, 2 Ni 2.48-2.50
Ni 0.5410 0.5010 0.0188 [1 per cell]  3 Ni 2.45-2.51, 3 V 2.47-2.53, 3 Cr 2.50-2.63
Ni 0.6856 0.8741 0.6763 [1 per cell]  3 Ni 2.45-2.51, 4 V 2.46-2.71, 4 Cr 2.48-2.59

The value obtained for the total energy is -8.200 eV per atom. The polymorph energy (0 for the lowest one) comes out at 3.29 kJ per mole of atoms. Its total magnetic moment is 0.000 μB per atom. The calculation puts the formation energy at -0.026 eV per atom. As for the density of states at the Fermi level: 1.200 states/eV per atom.

Entry 2:
Here is crystalline VCr2Ni6 at its relaxed geometry from Alexandria via LeMat-Bulk. Energies are from PBE.

abc: 8.0622 3.4916 7.5895
angles: 90.00 109.61 90.00
With the nearest neighbours (Å) after each atom.
Space group C2/m (No. 12)
Inequivalent atoms, fractional coordinates:
V 0.0000 0.0000 0.0000 [2 per cell]  8 Ni 2.50-2.53, 4 Cr 2.52
Cr 0.1698 0.5000 0.2297 [4 per cell]  10 Ni 2.44-2.58, 2 V 2.52
Ni 0.0009 0.0000 0.6703 [4 per cell]  8 Ni 2.47-2.58, 3 Cr 2.49-2.50, 1 V 2.50
Ni 0.1670 0.5000 0.8892 [4 per cell]  5 Ni 2.47-2.53, 3 V 2.52-2.53, 4 Cr 2.53-2.58
Ni 0.1686 0.5000 0.5566 [4 per cell]  3 Cr 2.44-2.48, 9 Ni 2.50-2.56

The value obtained for the total energy is -7.033 eV per atom. Its total magnetic moment is 0.000 μB per atom. The calculation puts the formation energy at -0.027 eV per atom. As for the density of states at the Fermi level: 1.144 states/eV per atom.

Entry 3:
Here is crystalline YVCr2Ni at its relaxed geometry from Alexandria via LeMat-Bulk. Energies are from PBE.

abc: 4.5704 4.5704 4.8939
angles: 90.00 90.00 90.00
With the nearest neighbours (Å) after each atom.
Space group P4/mmm (No. 123)
Inequivalent atoms, fractional coordinates:
Y 0.0000 0.0000 0.0000 [1 per cell]  2 Ni 2.45
V 0.5000 0.5000 0.0000 [1 per cell]  4 Y 3.23, 8 Cr 3.35
Cr 0.0000 0.5000 0.5000 [2 per cell]  2 Ni 2.29
Ni 0.0000 0.0000 0.5000 [1 per cell]  4 Cr 2.29, 2 Y 2.45

The value obtained for the total energy is -7.000 eV per atom. Its total magnetic moment is 1.616 μB per atom. The calculation puts the formation energy at 1.122 eV per atom. As for the density of states at the Fermi level: 1.144 states/eV per atom.

Entry 4:
Here is crystalline VZn2CrNi at its relaxed geometry from Alexandria via LeMat-Bulk. Energies are from PBE.

abc: 4.3226 4.3226 4.2978
angles: 90.00 90.00 90.00
With the nearest neighbours (Å) after each atom.
Space group P4/mmm (No. 123)
Inequivalent atoms, fractional coordinates:
V 0.0000 0.0000 0.0000 [1 per cell]  2 Ni 2.15
Zn 0.0000 0.5000 0.5000 [2 per cell]  2 Ni 2.16
Cr 0.5000 0.5000 0.0000 [1 per cell]  8 Zn 3.05, 4 V 3.06
Ni 0.0000 0.0000 0.5000 [1 per cell]  2 V 2.15, 4 Zn 2.16

The value obtained for the total energy is -4.409 eV per atom. Its total magnetic moment is 0.003 μB per atom. The calculation puts the formation energy at 1.006 eV per atom. As for the density of states at the Fermi level: 1.126 states/eV per atom.

Entry 5:
Here is crystalline Cr2NiW at its relaxed geometry from Alexandria via LeMat-Bulk. Energies are from PBE.

abc: 3.0077 3.0077 5.6244
angles: 90.00 90.00 90.00
With the nearest neighbours (Å) after each atom.
Space group P4mm (No. 99)
Inequivalent atoms, fractional coordinates:
Cr 0.0000 0.0000 0.0000 [1 per cell]  4 Cr 2.48, 4 W 2.60, 1 Ni 2.65
Cr 0.5000 0.5000 0.2268 [1 per cell]  4 Cr 2.48, 4 Ni 2.53
Ni 0.0000 0.0000 0.4719 [1 per cell]  5 Cr 2.53-2.65, 4 W 2.58
W 0.5000 0.5000 0.7326 [1 per cell]  4 Ni 2.58, 6 Cr 2.60-2.85

The value obtained for the total energy is -9.322 eV per atom. The polymorph energy (0 for the lowest one) comes out at 3.19 kJ per mole of atoms. Its total magnetic moment is 0.245 μB per atom. The calculation puts the formation energy at 0.173 eV per atom. As for the density of states at the Fermi level: 1.218 states/eV per atom.

Entry 6:
Here is crystalline Cr2NiW at its relaxed geometry from Alexandria via LeMat-Bulk. Energies are from PBE.

abc: 3.0477 4.1518 8.0679
angles: 90.00 90.00 90.00
With the nearest neighbours (Å) after each atom.
Space group Cmm2 (No. 35)
Inequivalent atoms, fractional coordinates:
Cr 0.0000 0.0000 0.0000 [2 per cell]  6 Cr 2.44-2.58, 2 Ni 2.44
Cr 0.0000 0.5000 0.2357 [2 per cell]  6 Cr 2.44-2.58, 2 W 2.65
Ni 0.0000 0.5000 0.7634 [2 per cell]  2 Cr 2.44, 4 Ni 2.58, 2 W 2.59
W 0.0000 0.0000 0.5040 [2 per cell]  4 W 2.58, 2 Ni 2.59, 2 Cr 2.65

The value obtained for the total energy is -9.356 eV per atom. The polymorph energy (0 for the lowest one) comes out at 0.00 kJ per mole of atoms. Its total magnetic moment is 0.000 μB per atom. The calculation puts the formation energy at 0.140 eV per atom. As for the density of states at the Fermi level: 1.081 states/eV per atom.

> What is the total magnetic moment in the fifth record?

0.245 μB per atom